No. 1
Material: HoAlGa3Ni
Method: DFT, PBE
State: relaxed

a b c (Å): 7.9139 7.9139 6.5604
angles (deg): 90.00 90.00 150.24
With the nearest neighbours (Å) after each atom.
Positions (direct):
1 Ho 0.1197 0.8803 0.7500  1 Al 2.94, 10 Ga 3.00-3.26, 2 Ni 3.13
2 Ho 0.8803 0.1197 0.2500  1 Al 2.94, 10 Ga 3.00-3.26, 2 Ni 3.13
3 Al 0.0728 0.9272 0.2500  1 Ni 2.33
4 Al 0.9272 0.0728 0.7500  1 Ni 2.33
5 Ga 0.3151 0.6849 0.5512  3 Ni 2.41-2.49, 1 Ga 2.61
6 Ga 0.3151 0.6849 0.9488  3 Ni 2.41-2.49, 1 Ga 2.61
7 Ga 0.5000 0.5000 0.0000  4 Al 2.84, 2 Ga 2.85
8 Ga 0.5000 0.5000 0.5000  4 Al 2.84, 2 Ga 2.85
9 Ga 0.6849 0.3151 0.0512  3 Ni 2.41-2.49, 1 Ga 2.61
10 Ga 0.6849 0.3151 0.4488  3 Ni 2.41-2.49, 1 Ga 2.61
11 Ni 0.2248 0.7752 0.2500  1 Al 2.33, 6 Ga 2.41-2.49
12 Ni 0.7752 0.2248 0.7500  1 Al 2.33, 6 Ga 2.41-2.49

Computed properties:
- energy above the lowest structure with this stoichiometry (kJ per mole of atoms) = 0.0

***

No. 2
Material: HoSi2
Method: DFT, PBE
State: relaxed

a b c (Å): 9.3892 9.3892 9.3892
angles (deg): 60.00 60.00 60.00
With the nearest neighbours (Å) after each atom.
Positions (direct):
1 Ho 0.1250 0.1250 0.1250  4 Si 2.87
2 Ho 0.8750 0.8750 0.8750  4 Si 2.87
3 Si 0.0000 0.0000 0.0000  2 Ho 2.87
4 Si 0.0000 0.0000 0.5000  2 Ho 2.87
5 Si 0.0000 0.5000 0.0000  2 Ho 2.87
6 Si 0.5000 0.0000 0.0000  2 Ho 2.87

Computed properties:
- uncorrected energy (eV per atom) = -3.3306

***

No. 3
Material: HgBiSO
Method: DFT, PBE
State: relaxed

a b c (Å): 5.5283 5.5533 11.5572
angles (deg): 90.00 100.20 90.00
With the nearest neighbours (Å) after each atom.
Positions (direct):
1 Hg 0.1370 0.0000 0.0921  1 S 2.45, 1 Hg 2.65
2 Hg 0.3614 0.9994 0.9076  1 S 2.45, 1 Hg 2.65
3 Hg 0.6386 0.4994 0.0924  1 S 2.45, 1 Hg 2.65
4 Hg 0.8630 0.5000 0.9079  1 S 2.45, 1 Hg 2.65
5 Bi 0.0529 0.8325 0.6126  4 O 2.25-2.44
6 Bi 0.4472 0.8325 0.3872  4 O 2.25-2.44
7 Bi 0.5528 0.3325 0.6128  4 O 2.25-2.44
8 Bi 0.9471 0.3325 0.3874  4 O 2.25-2.44
9 S 0.0793 0.3751 0.7501  1 Hg 2.45
10 S 0.4211 0.3749 0.2497  1 Hg 2.45
11 S 0.5789 0.8749 0.7503  1 Hg 2.45
12 S 0.9207 0.8751 0.2499  1 Hg 2.45
13 O 0.2500 0.0980 0.5000  4 Bi 2.33-2.36
14 O 0.2500 0.5999 0.5000  4 Bi 2.25-2.44
15 O 0.7500 0.0999 0.5000  4 Bi 2.25-2.44
16 O 0.7500 0.5980 0.5000  4 Bi 2.33-2.36

Computed properties:
- energy above the lowest structure with this stoichiometry (kJ per mole of atoms) = 0.0

***

No. 4
Material: Lu3TlCN
Method: DFT, PBE
State: relaxed

a b c (Å): 3.4489 3.4489 21.4461
angles (deg): 90.00 90.00 120.00
With the nearest neighbours (Å) after each atom.
Positions (direct):
1 Lu 0.0000 0.0000 0.0000  6 N 2.44
2 Lu 0.0000 0.0000 0.5000  6 C 2.51
3 Lu 0.3333 0.6667 0.1229  3 N 2.34
4 Lu 0.3333 0.6667 0.3731  3 C 2.32
5 Lu 0.6667 0.3333 0.6269  3 C 2.32
6 Lu 0.6667 0.3333 0.8771  3 N 2.34
7 Tl 0.0000 0.0000 0.2453  6 Lu 3.29-3.39, 6 Tl 3.45
8 Tl 0.0000 0.0000 0.7547  6 Lu 3.29-3.39, 6 Tl 3.45
9 C 0.3333 0.6667 0.5710  6 Lu 2.32-2.51
10 C 0.6667 0.3333 0.4290  6 Lu 2.32-2.51
11 N 0.3333 0.6667 0.9346  6 Lu 2.34-2.44
12 N 0.6667 0.3333 0.0654  6 Lu 2.34-2.44

Computed properties:
- uncorrected energy (eV per atom) = -6.4282

***

No. 5
Material: DyPu
Method: DFT, PBE
State: relaxed

a b c (Å): 6.3106 6.3106 6.3106
angles (deg): 90.00 90.00 90.00
With the nearest neighbours (Å) after each atom.
Positions (direct):
1 Dy 0.0000 0.0000 0.0000  6 Pu 3.16
2 Dy 0.0000 0.5000 0.5000  6 Pu 3.16
3 Dy 0.5000 0.0000 0.5000  6 Pu 3.16
4 Dy 0.5000 0.5000 0.0000  6 Pu 3.16
5 Pu 0.0000 0.0000 0.5000  6 Dy 3.16
6 Pu 0.0000 0.5000 0.0000  6 Dy 3.16
7 Pu 0.5000 0.0000 0.0000  6 Dy 3.16
8 Pu 0.5000 0.5000 0.5000  6 Dy 3.16

Computed properties:
- formation energy from the elements (eV per atom) = 0.778
- energy above the lowest structure with this stoichiometry (kJ per mole of atoms) = 67.2

***

No. 6
Material: Fe2BiPd
Method: DFT, PBE
State: relaxed

a b c (Å): 6.3151 6.3151 6.3151
angles (deg): 90.00 90.00 90.00
With the nearest neighbours (Å) after each atom.
Positions (direct):
1 Fe 0.0000 0.0000 0.0000  4 Fe 2.73, 4 Bi 2.73
2 Fe 0.0000 0.5000 0.5000  4 Fe 2.73, 4 Bi 2.73
3 Fe 0.2500 0.2500 0.2500  4 Fe 2.73, 4 Pd 2.73
4 Fe 0.2500 0.7500 0.7500  4 Fe 2.73, 4 Pd 2.73
5 Fe 0.5000 0.0000 0.5000  4 Fe 2.73, 4 Bi 2.73
6 Fe 0.5000 0.5000 0.0000  4 Fe 2.73, 4 Bi 2.73
7 Fe 0.7500 0.2500 0.7500  4 Fe 2.73, 4 Pd 2.73
8 Fe 0.7500 0.7500 0.2500  4 Fe 2.73, 4 Pd 2.73
9 Bi 0.2500 0.2500 0.7500  4 Fe 2.73, 4 Pd 2.73
10 Bi 0.2500 0.7500 0.2500  4 Fe 2.73, 4 Pd 2.73
11 Bi 0.7500 0.2500 0.2500  4 Fe 2.73, 4 Pd 2.73
12 Bi 0.7500 0.7500 0.7500  4 Fe 2.73, 4 Pd 2.73
13 Pd 0.0000 0.0000 0.5000  4 Bi 2.73, 4 Fe 2.73
14 Pd 0.0000 0.5000 0.0000  4 Fe 2.73, 4 Bi 2.73
15 Pd 0.5000 0.0000 0.0000  4 Fe 2.73, 4 Bi 2.73
16 Pd 0.5000 0.5000 0.5000  4 Fe 2.73, 4 Bi 2.73

Computed properties:
- uncorrected energy (eV per atom) = -6.1928

***

No. 7
Material: YGe2IrPt
Method: DFT, PBE
State: relaxed

a b c (Å): 4.2913 4.2913 10.0610
angles (deg): 90.00 90.00 90.00
With the nearest neighbours (Å) after each atom.
Positions (direct):
1 Y 0.2500 0.2500 0.2447  8 Ge 3.26-3.27, 4 Ir 3.26, 4 Pt 3.35
2 Y 0.7500 0.7500 0.7553  8 Ge 3.26-3.27, 4 Ir 3.26, 4 Pt 3.35
3 Ge 0.2500 0.2500 0.6368  1 Ir 2.39, 4 Pt 2.55
4 Ge 0.2500 0.7500 0.0000  4 Ir 2.49
5 Ge 0.7500 0.2500 0.0000  4 Ir 2.49
6 Ge 0.7500 0.7500 0.3632  1 Ir 2.39, 4 Pt 2.55
7 Ir 0.2500 0.2500 0.8747  5 Ge 2.39-2.49
8 Ir 0.7500 0.7500 0.1253  5 Ge 2.39-2.49
9 Pt 0.2500 0.7500 0.5000  4 Ge 2.55
10 Pt 0.7500 0.2500 0.5000  4 Ge 2.55

Computed properties:
- energy above the lowest structure with this stoichiometry (kJ per mole of atoms) = 4.6

***

No. 8
Material: Nb2Mo4S3N3
Method: DFT, PBE
State: relaxed

a b c (Å): 5.6044 5.6044 12.0610
angles (deg): 102.96 102.96 59.58
With the nearest neighbours (Å) after each atom.
Positions (direct):
1 Nb 0.0584 0.8281 0.6047  3 N 2.11-2.29
2 Nb 0.1719 0.9416 0.8953  3 N 2.11-2.29
3 Nb 0.8281 0.0584 0.1047  3 N 2.11-2.29
4 Nb 0.9416 0.1719 0.3953  3 N 2.11-2.29
5 Mo 0.2396 0.3876 0.1021  2 N 2.10-2.18, 1 S 2.33
6 Mo 0.3364 0.4599 0.4084  3 N 2.12-2.29
7 Mo 0.3876 0.2396 0.6021  2 N 2.10-2.18, 1 S 2.33
8 Mo 0.4599 0.3364 0.9084  3 N 2.12-2.29
9 Mo 0.5401 0.6636 0.0916  3 N 2.12-2.29
10 Mo 0.6124 0.7604 0.3979  2 N 2.10-2.18, 1 S 2.33
11 Mo 0.6636 0.5401 0.5916  3 N 2.12-2.29
12 Mo 0.7604 0.6124 0.8979  2 N 2.10-2.18, 1 S 2.33
13 S 0.0799 0.2623 0.7488  4 Mo 2.57-2.68, 2 Nb 2.59-2.69
14 S 0.2623 0.0799 0.2488  4 Mo 2.57-2.68, 2 Nb 2.59-2.69
15 S 0.4339 0.5661 0.7500  4 Mo 2.33-2.47, 2 Nb 2.45
16 S 0.5661 0.4339 0.2500  4 Mo 2.33-2.47, 2 Nb 2.45
17 S 0.7377 0.9201 0.7512  4 Mo 2.57-2.68, 2 Nb 2.59-2.69
18 S 0.9201 0.7377 0.2512  4 Mo 2.57-2.68, 2 Nb 2.59-2.69
19 N 0.0000 0.5000 0.5000  2 Nb 2.11, 4 Mo 2.18-2.29
20 N 0.1464 0.6858 0.9976  3 Mo 2.10-2.20, 2 Nb 2.16-2.29
21 N 0.3142 0.8536 0.5024  3 Mo 2.10-2.20, 2 Nb 2.16-2.29
22 N 0.5000 0.0000 0.0000  2 Nb 2.11, 4 Mo 2.18-2.29
23 N 0.6858 0.1464 0.4976  3 Mo 2.10-2.20, 2 Nb 2.16-2.29
24 N 0.8536 0.3142 0.0024  3 Mo 2.10-2.20, 2 Nb 2.16-2.29

Computed properties:
- uncorrected energy (eV per atom) = -8.8019

***

No. 9
Material: TbAgSnS3
Method: DFT, PBE
State: relaxed

a b c (Å): 11.9233 3.9720 12.4189
angles (deg): 90.00 90.00 90.00
With the nearest neighbours (Å) after each atom.
Positions (direct):
1 Tb 0.0134 0.2500 0.1525  6 S 2.74-2.84
2 Tb 0.4866 0.7500 0.6525  6 S 2.74-2.84
3 Tb 0.5134 0.2500 0.3475  6 S 2.74-2.84
4 Tb 0.9866 0.7500 0.8475  6 S 2.74-2.84
5 Ag 0.2007 0.7500 0.3868  2 S 2.43-2.44
6 Ag 0.2993 0.2500 0.8868  2 S 2.43-2.44
7 Ag 0.7007 0.7500 0.1132  2 S 2.43-2.44
8 Ag 0.7993 0.2500 0.6132  2 S 2.43-2.44
9 Sn 0.1713 0.2500 0.5796  3 S 2.61-2.67
10 Sn 0.3287 0.7500 0.0796  3 S 2.61-2.67
11 Sn 0.6713 0.2500 0.9204  3 S 2.61-2.67
12 Sn 0.8287 0.7500 0.4204  3 S 2.61-2.67
13 S 0.0139 0.7500 0.3090  1 Ag 2.43, 1 Sn 2.61
14 S 0.1052 0.2500 0.9485  1 Ag 2.44
15 S 0.2468 0.2500 0.1997  2 Sn 2.67, 1 Tb 2.84
16 S 0.2532 0.7500 0.6997  2 Sn 2.67, 1 Tb 2.84
17 S 0.3948 0.7500 0.4485  1 Ag 2.44
18 S 0.4861 0.2500 0.8090  1 Ag 2.43, 1 Sn 2.61
19 S 0.5139 0.7500 0.1910  1 Ag 2.43, 1 Sn 2.61
20 S 0.6052 0.2500 0.5515  1 Ag 2.44
21 S 0.7468 0.2500 0.3003  2 Sn 2.67, 1 Tb 2.84
22 S 0.7532 0.7500 0.8003  2 Sn 2.67, 1 Tb 2.84
23 S 0.8948 0.7500 0.0515  1 Ag 2.44
24 S 0.9861 0.2500 0.6910  1 Ag 2.43, 1 Sn 2.61

Computed properties:
- energy above the lowest structure with this stoichiometry (kJ per mole of atoms) = 0.0

***

No. 10
Material: YTm2Sc3Te2Au
Method: DFT, PBE
State: relaxed

a b c (Å): 3.9434 8.0073 8.0073
angles (deg): 119.82 90.00 90.00
With the nearest neighbours (Å) after each atom.
Positions (direct):
1 Y 0.0000 0.0000 0.0000  4 Te 3.15, 1 Au 3.24, 6 Sc 3.42-3.46
2 Tm 0.0000 0.3988 0.7949  4 Te 3.15, 1 Au 3.15, 6 Sc 3.40-3.47
3 Tm 0.0000 0.7949 0.3988  4 Te 3.15, 1 Au 3.15, 6 Sc 3.40-3.47
4 Sc 0.5000 0.1516 0.3990  2 Au 2.81, 2 Te 3.06-3.09
5 Sc 0.5000 0.3990 0.1516  2 Au 2.81, 2 Te 3.06-3.09
6 Sc 0.5000 0.6464 0.6464  2 Au 2.78, 2 Te 3.08
7 Te 0.5000 0.0660 0.7308  3 Sc 3.06-3.09, 4 Tm 3.15, 2 Y 3.15
8 Te 0.5000 0.7308 0.0660  3 Sc 3.06-3.09, 4 Tm 3.15, 2 Y 3.15
9 Au 0.0000 0.4031 0.4031  6 Sc 2.78-2.81

Computed properties:
- uncorrected energy (eV per atom) = -5.6732

***

No. 11
Material: La2GdCu4Sn4
Method: DFT, PBE
State: relaxed

a b c (Å): 8.6481 8.6481 8.6481
angles (deg): 148.87 132.75 57.67
With the nearest neighbours (Å) after each atom.
Positions (direct):
1 La 0.1337 0.1337 0.0000  6 Cu 3.24-3.26, 6 Sn 3.27-3.40
2 La 0.8663 0.8663 0.0000  6 Cu 3.24-3.26, 6 Sn 3.27-3.40
3 Gd 0.5000 0.0000 0.5000  6 Sn 3.09-3.25
4 Cu 0.1487 0.3321 0.8166  1 Cu 2.54, 4 Sn 2.66-2.83
5 Cu 0.4845 0.6679 0.8166  1 Cu 2.54, 4 Sn 2.66-2.83
6 Cu 0.5155 0.3321 0.1834  1 Cu 2.54, 4 Sn 2.66-2.83
7 Cu 0.8513 0.6679 0.1834  1 Cu 2.54, 4 Sn 2.66-2.83
8 Sn 0.2062 0.5000 0.7062  2 Cu 2.66, 1 Sn 2.86
9 Sn 0.2855 0.7855 0.5000  6 Cu 2.74-2.83
10 Sn 0.7145 0.2145 0.5000  6 Cu 2.74-2.83
11 Sn 0.7938 0.5000 0.2938  2 Cu 2.66, 1 Sn 2.86

Computed properties:
- uncorrected energy (eV per atom) = -4.6751

***

No. 12
Material: ZrCuReBi
Method: DFT, PBE
State: relaxed

a b c (Å): 6.6742 6.6742 6.6742
angles (deg): 90.00 90.00 90.00
With the nearest neighbours (Å) after each atom.
Positions (direct):
1 Zr 0.0000 0.0000 0.0000  4 Re 2.89, 4 Cu 2.89
2 Zr 0.0000 0.5000 0.5000  4 Re 2.89, 4 Cu 2.89
3 Zr 0.5000 0.0000 0.5000  4 Re 2.89, 4 Cu 2.89
4 Zr 0.5000 0.5000 0.0000  4 Re 2.89, 4 Cu 2.89
5 Cu 0.2500 0.2500 0.2500  4 Zr 2.89, 4 Bi 2.89
6 Cu 0.2500 0.7500 0.7500  4 Zr 2.89, 4 Bi 2.89
7 Cu 0.7500 0.2500 0.7500  4 Zr 2.89, 4 Bi 2.89
8 Cu 0.7500 0.7500 0.2500  4 Zr 2.89, 4 Bi 2.89
9 Re 0.2500 0.2500 0.7500  4 Zr 2.89, 4 Bi 2.89
10 Re 0.2500 0.7500 0.2500  4 Zr 2.89, 4 Bi 2.89
11 Re 0.7500 0.2500 0.2500  4 Zr 2.89, 4 Bi 2.89
12 Re 0.7500 0.7500 0.7500  4 Zr 2.89, 4 Bi 2.89
13 Bi 0.0000 0.0000 0.5000  4 Cu 2.89, 4 Re 2.89
14 Bi 0.0000 0.5000 0.0000  4 Cu 2.89, 4 Re 2.89
15 Bi 0.5000 0.0000 0.0000  4 Cu 2.89, 4 Re 2.89
16 Bi 0.5000 0.5000 0.5000  4 Re 2.89, 4 Cu 2.89

Computed properties:
- energy above the lowest structure with this stoichiometry (kJ per mole of atoms) = 0.0

***

| no. | density (g/cm³) |
| --- | --- |
| 1 | 7.49 |
| 2 | 1.25 |
| 3 | 8.70 |
| 4 | 11.35 |
| 5 | 10.74 |
| 6 | 11.26 |
| 7 | 11.14 |
| 8 | 7.45 |
| 9 | 5.44 |
| 10 | 7.67 |
| 11 | 7.93 |
| 12 | 12.29 |